This record from the Alexandria database describes a relaxed TbPmAgIr crystal. The functional is PBE.

abc: 5.049 5.049 5.049
angles: 60.00 60.00 60.00
Atoms (fractional coordinates):
Pm1 0.500 0.500 0.500
Ag1 0.250 0.250 0.250
Ir1 0.750 0.750 0.750
Tb1 0.000 0.000 0.000

Calculated values
**Energy of formation**: -0.52 eV/atom
**Symmetry**: No. 216

This record from the Alexandria database describes a relaxed ZnNClF2 crystal. The functional is PBE.

abc: 3.761 3.761 6.070
angles: 90.00 90.00 90.00
Site moments in Bohr magnetons follow the coordinates.
Atoms (fractional coordinates):
Cl1 0.500 0.500 0.500  -0.06
N1 0.000 0.000 0.500  1.48
F1 0.000 0.500 0.000  0.01
Zn1 0.000 0.000 0.000  0.01
F2 0.500 0.000 0.000  0.01

Calculated values
**Symmetry**: No. 123
**Total energy**: -3.17 eV per atom

This record from the Alexandria database describes a relaxed MnAgBr3 crystal. The functional is PBE.

abc: 7.124 9.401 9.401
angles: 86.00 79.13 79.13
Site moments in Bohr magnetons follow the coordinates.
Atoms (fractional coordinates):
Ag1 0.750 0.900 0.100  0.02
Br1 0.597 0.289 0.444  0.08
Ag2 0.250 0.100 0.900  0.02
Br2 0.631 0.969 0.800  0.05
Mn1 0.710 0.784 0.610  4.34
Br3 0.388 0.377 0.871  0.05
Br4 0.903 0.556 0.711  0.08
Mn2 0.790 0.390 0.216  4.34
Br5 0.097 0.444 0.289  0.08
Br6 0.869 0.200 0.031  0.05
Br7 0.612 0.623 0.129  0.05
Br8 0.369 0.031 0.200  0.05
Br9 0.403 0.711 0.556  0.08
Mn3 0.210 0.610 0.784  4.34
Mn4 0.290 0.216 0.390  4.34
Br10 0.131 0.800 0.969  0.05
Ag3 0.750 0.265 0.735  0.03
Ag4 0.250 0.735 0.265  0.03
Br11 0.112 0.129 0.623  0.05
Br12 0.888 0.871 0.377  0.05

Calculated values
**Symmetry**: No. 15
**Total energy**: -3.98 eV per atom

This record from the Alexandria database describes a relaxed Nb2AlCrH crystal. The functional is PBE.

abc: 4.192 4.192 3.757
angles: 90.00 90.00 90.00
Site moments in Bohr magnetons follow the coordinates.
Atoms (fractional coordinates):
Nb1 0.500 0.000 0.000  -0.12
Al1 0.500 0.500 0.500  0.00
Nb2 0.000 0.500 0.000  -0.12
Cr1 0.000 0.000 0.500  0.72
H1 0.000 0.000 0.000  0.00

Calculated values
**Symmetry**: No. 123
**Total energy**: -7.48 eV per atom

This record from the Alexandria database describes a relaxed AcDy5Tl6 crystal. The functional is PBE.

abc: 5.480 7.618 9.465
angles: 113.73 106.83 90.00
Atoms (fractional coordinates):
Tl1 0.500 0.270 0.000
Dy1 0.338 0.838 0.676
Tl2 0.173 0.432 0.345
Dy2 0.669 0.669 0.337
Dy3 0.331 0.331 0.663
Ac1 0.000 0.000 0.000
Dy4 0.662 0.162 0.324
Tl3 0.827 0.568 0.655
Tl4 0.500 0.730 0.000
Dy5 0.000 0.500 0.000
Tl5 0.827 0.087 0.655
Tl6 0.173 0.913 0.345

Calculated values
**Energy of formation**: -0.32 eV/atom
**Symmetry**: No. 71

This record from the Alexandria database describes a relaxed MgAlTe2 crystal. The functional is PBE.

abc: 7.327 6.096 4.634
angles: 61.82 98.82 131.24
Atoms (fractional coordinates):
Al1 0.000 0.500 0.500
Te1 0.500 0.000 0.500
Te2 0.000 0.000 0.000
Mg1 0.500 0.500 0.000

Calculated values
**Symmetry**: No. 12
**Total energy**: -3.12 eV per atom